No. 1
# Nd6ErTm PBE optimized geometry
# **ΔH_f (0 K)**: 0.015 eV/atom
data_Nd6ErTm
_chemical_formula_sum 'Nd6 Er1 Tm1'
_symmetry_space_group_name_H-M 'P 4/m m m'
_symmetry_Int_Tables_number 123
_symmetry_space_group_name_Hall '-P 4 2'
_cell_length_a 5.1381
_cell_length_b 5.1381
_cell_length_c 10.2765
_cell_angle_alpha 90.00
_cell_angle_beta 90.00
_cell_angle_gamma 90.00
loop_
_atom_site_label
_atom_site_type_symbol
_atom_site_fract_x
_atom_site_fract_y
_atom_site_fract_z
Nd1 Nd 0.0000 0.0000 0.0000
Nd2 Nd 0.0000 0.0000 0.5000
Nd3 Nd 0.0000 0.5000 0.2504
Er1 Er 0.5000 0.5000 0.0000
Tm1 Tm 0.5000 0.5000 0.5000

***

No. 2
# Nd6Er2Tm PBE optimized geometry
# **ΔH_f (0 K)**: 0.129 eV/atom
# **Energy above the most stable polymorph in this dataset**: 0.34 kcal/mol of atoms
data_Nd6Er2Tm
_chemical_formula_sum 'Nd12 Er4 Tm2'
_symmetry_space_group_name_H-M 'C m m m'
_symmetry_Int_Tables_number 65
_symmetry_space_group_name_Hall '-C 2 2'
_cell_length_a 9.4016
_cell_length_b 17.6642
_cell_length_c 3.6627
_cell_angle_alpha 90.00
_cell_angle_beta 90.00
_cell_angle_gamma 90.00
loop_
_atom_site_label
_atom_site_type_symbol
_atom_site_fract_x
_atom_site_fract_y
_atom_site_fract_z
Nd1 Nd 0.1755 0.1655 0.0000
Nd2 Nd 0.1853 0.0000 0.5000
Er1 Er 0.0000 0.3246 0.5000
Tm1 Tm 0.0000 0.5000 0.0000

***

No. 3
# Nd3Er2Tm6 PBE optimized geometry
# **ΔH_f (0 K)**: 0.279 eV/atom
# **Energy above the most stable polymorph in this dataset**: 5.86 kcal/mol of atoms
data_Nd3Er2Tm6
_chemical_formula_sum 'Nd6 Er4 Tm12'
_symmetry_space_group_name_H-M 'I 4/m m m'
_symmetry_Int_Tables_number 139
_symmetry_space_group_name_Hall '-I 4 2'
_cell_length_a 4.7190
_cell_length_b 4.7190
_cell_length_c 33.0431
_cell_angle_alpha 90.00
_cell_angle_beta 90.00
_cell_angle_gamma 90.00
loop_
_atom_site_label
_atom_site_type_symbol
_atom_site_fract_x
_atom_site_fract_y
_atom_site_fract_z
Nd1 Nd 0.0000 0.0000 0.0000
Nd2 Nd 0.0000 0.0000 0.2046
Er1 Er 0.0000 0.0000 0.4535
Tm1 Tm 0.0000 0.0000 0.3084
Tm2 Tm 0.0000 0.5000 0.1206

***

No. 4
# NdEr6Tm6 PBE optimized geometry
# **ΔH_f (0 K)**: 0.221 eV/atom
data_NdEr6Tm6
_chemical_formula_sum 'Nd1 Er6 Tm6'
_symmetry_space_group_name_H-M 'P 1 2/m 1'
_symmetry_Int_Tables_number 10
_symmetry_space_group_name_Hall '-P 2y'
_cell_length_a 6.5173
_cell_length_b 10.8846
_cell_length_c 6.5389
_cell_angle_alpha 90.00
_cell_angle_beta 115.69
_cell_angle_gamma 90.00
loop_
_atom_site_label
_atom_site_type_symbol
_atom_site_fract_x
_atom_site_fract_y
_atom_site_fract_z
Nd1 Nd 0.0000 0.0000 0.0000
Er1 Er 0.0000 0.3371 0.0000
Er2 Er 0.2660 0.5000 0.7386
Er3 Er 0.3437 0.0000 0.6309
Tm1 Tm 0.0000 0.2307 0.5000
Tm2 Tm 0.5000 0.2232 0.0000
Tm3 Tm 0.5000 0.3012 0.5000

***

No. 5
# NdErTm PBE optimized geometry
# **ΔH_f (0 K)**: 0.013 eV/atom
# **Energy above the most stable polymorph in this dataset**: 0.00 kcal/mol of atoms
data_NdErTm
_chemical_formula_sum 'Nd2 Er2 Tm2'
_symmetry_space_group_name_H-M 'P 1 21/m 1'
_symmetry_Int_Tables_number 11
_symmetry_space_group_name_Hall '-P 2yb'
_cell_length_a 3.6273
_cell_length_b 5.6814
_cell_length_c 9.5389
_cell_angle_alpha 90.00
_cell_angle_beta 100.73
_cell_angle_gamma 90.00
loop_
_atom_site_label
_atom_site_type_symbol
_atom_site_fract_x
_atom_site_fract_y
_atom_site_fract_z
Nd1 Nd 0.1105 0.2500 0.2222
Er1 Er 0.4430 0.2500 0.8852
Tm1 Tm 0.2237 0.7500 0.4466

***

No. 6
# Nd8ErTm2 PBE optimized geometry
# **ΔH_f (0 K)**: 0.173 eV/atom
# **Energy above the most stable polymorph in this dataset**: 1.39 kcal/mol of atoms
data_Nd8ErTm2
_chemical_formula_sum 'Nd16 Er2 Tm4'
_symmetry_space_group_name_H-M 'C 1 2/m 1'
_symmetry_Int_Tables_number 12
_symmetry_space_group_name_Hall '-C 2y'
_cell_length_a 16.8372
_cell_length_b 6.8007
_cell_length_c 6.7053
_cell_angle_alpha 90.00
_cell_angle_beta 100.30
_cell_angle_gamma 90.00
loop_
_atom_site_label
_atom_site_type_symbol
_atom_site_fract_x
_atom_site_fract_y
_atom_site_fract_z
Nd1 Nd 0.0864 0.2386 0.4044
Nd2 Nd 0.0957 0.0000 0.9158
Nd3 Nd 0.2445 0.5000 0.3217
Er1 Er 0.0000 0.5000 0.0000
Tm1 Tm 0.1953 0.5000 0.8075

***

No. 7
# Nd7ErTm4 PBE optimized geometry
# **ΔH_f (0 K)**: 0.220 eV/atom
# **Energy above the most stable polymorph in this dataset**: 4.91 kcal/mol of atoms
data_Nd7ErTm4
_chemical_formula_sum 'Nd14 Er2 Tm8'
_symmetry_space_group_name_H-M 'C 1 2/m 1'
_symmetry_Int_Tables_number 12
_symmetry_space_group_name_Hall '-C 2y'
_cell_length_a 16.1100
_cell_length_b 5.9905
_cell_length_c 9.4280
_cell_angle_alpha 90.00
_cell_angle_beta 116.85
_cell_angle_gamma 90.00
loop_
_atom_site_label
_atom_site_type_symbol
_atom_site_fract_x
_atom_site_fract_y
_atom_site_fract_z
Nd1 Nd 0.0000 0.0000 0.0000
Nd2 Nd 0.0863 0.5000 0.4498
Nd3 Nd 0.2117 0.5000 0.8863
Nd4 Nd 0.2147 0.5000 0.2424
Er1 Er 0.0000 0.5000 0.0000
Tm1 Tm 0.0693 0.0000 0.6990
Tm2 Tm 0.1692 0.0000 0.3788

***

No. 8
# NdEr3Tm2 PBE optimized geometry
# **ΔH_f (0 K)**: -0.002 eV/atom
# **Energy above the most stable polymorph in this dataset**: 0.00 kcal/mol of atoms
data_NdEr3Tm2
_chemical_formula_sum 'Nd2 Er6 Tm4'
_symmetry_space_group_name_H-M 'P -1'
_symmetry_Int_Tables_number 2
_symmetry_space_group_name_Hall '-P 1'
_cell_length_a 7.0992
_cell_length_b 7.1077
_cell_length_c 8.7577
_cell_angle_alpha 78.25
_cell_angle_beta 78.27
_cell_angle_gamma 60.14
loop_
_atom_site_label
_atom_site_type_symbol
_atom_site_fract_x
_atom_site_fract_y
_atom_site_fract_z
Nd1 Nd 0.2498 0.2502 0.0006
Er1 Er 0.1389 0.1390 0.6642
Er2 Er 0.2503 0.7498 0.9997
Er3 Er 0.3605 0.8603 0.3367
Tm1 Tm 0.1399 0.6391 0.6634
Tm2 Tm 0.3610 0.3615 0.3357

***

No. 9
# Nd4Er7Tm PBE optimized geometry
# **ΔH_f (0 K)**: 0.291 eV/atom
# **Energy above the most stable polymorph in this dataset**: 4.62 kcal/mol of atoms
data_Nd4Er7Tm
_chemical_formula_sum 'Nd8 Er14 Tm2'
_symmetry_space_group_name_H-M 'C 1 2/m 1'
_symmetry_Int_Tables_number 12
_symmetry_space_group_name_Hall '-C 2y'
_cell_length_a 11.9813
_cell_length_b 5.8740
_cell_length_c 12.7903
_cell_angle_alpha 90.00
_cell_angle_beta 116.95
_cell_angle_gamma 90.00
loop_
_atom_site_label
_atom_site_type_symbol
_atom_site_fract_x
_atom_site_fract_y
_atom_site_fract_z
Nd1 Nd 0.0866 0.0000 0.2956
Nd2 Nd 0.1362 0.5000 0.7757
Er1 Er 0.0000 0.0000 0.0000
Er2 Er 0.1314 0.5000 0.4879
Er3 Er 0.1726 0.0000 0.6356
Er4 Er 0.2103 0.0000 0.9187
Tm1 Tm 0.0000 0.5000 0.0000

***

No. 10
# Nd3Er3Tm8 PBE optimized geometry
# **ΔH_f (0 K)**: 0.112 eV/atom
data_Nd3Er3Tm8
_chemical_formula_sum 'Nd6 Er6 Tm16'
_symmetry_space_group_name_H-M 'I m m m'
_symmetry_Int_Tables_number 71
_symmetry_space_group_name_Hall '-I 2 2'
_cell_length_a 5.5857
_cell_length_b 10.7302
_cell_length_c 14.9075
_cell_angle_alpha 90.00
_cell_angle_beta 90.00
_cell_angle_gamma 90.00
loop_
_atom_site_label
_atom_site_type_symbol
_atom_site_fract_x
_atom_site_fract_y
_atom_site_fract_z
Nd1 Nd 0.0000 0.0000 0.0000
Nd2 Nd 0.0000 0.5000 0.3160
Er1 Er 0.0000 0.0000 0.5000
Er2 Er 0.0000 0.2952 0.5000
Tm1 Tm 0.0000 0.1609 0.2795
Tm2 Tm 0.0000 0.3429 0.1025

***

No. 11
# NdEr4Tm7 PBE optimized geometry
# **ΔH_f (0 K)**: 0.082 eV/atom
# **Energy above the most stable polymorph in this dataset**: 0.00 kcal/mol of atoms
data_NdEr4Tm7
_chemical_formula_sum 'Nd1 Er4 Tm7'
_symmetry_space_group_name_H-M 'P -1'
_symmetry_Int_Tables_number 2
_symmetry_space_group_name_Hall '-P 1'
_cell_length_a 6.6428
_cell_length_b 6.8992
_cell_length_c 8.6311
_cell_angle_alpha 79.74
_cell_angle_beta 76.61
_cell_angle_gamma 76.65
loop_
_atom_site_label
_atom_site_type_symbol
_atom_site_fract_x
_atom_site_fract_y
_atom_site_fract_z
Nd1 Nd 0.0000 0.0000 0.0000
Er1 Er 0.1884 0.6049 0.3361
Er2 Er 0.3450 0.2333 0.6826
Tm1 Tm 0.0000 0.5000 0.0000
Tm2 Tm 0.1822 0.1062 0.3702
Tm3 Tm 0.3220 0.7372 0.6690
Tm4 Tm 0.4793 0.2521 0.0265

***

No. 12
# Nd6Er8Tm PBE optimized geometry
# **ΔH_f (0 K)**: 0.120 eV/atom
# **Energy above the most stable polymorph in this dataset**: 0.00 kcal/mol of atoms
data_Nd6Er8Tm
_chemical_formula_sum 'Nd18 Er24 Tm3'
_symmetry_space_group_name_H-M 'R -3'
_symmetry_Int_Tables_number 148
_symmetry_space_group_name_Hall '-R 3'
_cell_length_a 9.0622
_cell_length_b 9.0622
_cell_length_c 20.8349
_cell_angle_alpha 90.00
_cell_angle_beta 90.00
_cell_angle_gamma 120.00
loop_
_atom_site_label
_atom_site_type_symbol
_atom_site_fract_x
_atom_site_fract_y
_atom_site_fract_z
Nd1 Nd 0.0625 0.2492 0.2109
Er1 Er 0.0000 0.0000 0.0768
Er2 Er 0.0810 0.5572 0.3071
Tm1 Tm 0.0000 0.0000 0.5000

***

No. 13
# NdEr10Tm4 PBE optimized geometry
# **ΔH_f (0 K)**: 0.732 eV/atom
data_NdEr10Tm4
_chemical_formula_sum 'Nd2 Er20 Tm8'
_symmetry_space_group_name_H-M 'I 4/m'
_symmetry_Int_Tables_number 87
_symmetry_space_group_name_Hall '-I 4'
_cell_length_a 12.0313
_cell_length_b 12.0313
_cell_length_c 7.5951
_cell_angle_alpha 90.00
_cell_angle_beta 90.00
_cell_angle_gamma 90.00
loop_
_atom_site_label
_atom_site_type_symbol
_atom_site_fract_x
_atom_site_fract_y
_atom_site_fract_z
Nd1 Nd 0.0000 0.0000 0.0000
Er1 Er 0.0000 0.5000 0.2500
Er2 Er 0.1014 0.7980 0.2527
Tm1 Tm 0.0994 0.3009 0.5000

***

No. 14
# Nd3Er8Tm3 PBE optimized geometry
# **ΔH_f (0 K)**: 0.111 eV/atom
data_Nd3Er8Tm3
_chemical_formula_sum 'Nd6 Er16 Tm6'
_symmetry_space_group_name_H-M 'I m m m'
_symmetry_Int_Tables_number 71
_symmetry_space_group_name_Hall '-I 2 2'
_cell_length_a 5.5998
_cell_length_b 10.7593
_cell_length_c 14.8931
_cell_angle_alpha 90.00
_cell_angle_beta 90.00
_cell_angle_gamma 90.00
loop_
_atom_site_label
_atom_site_type_symbol
_atom_site_fract_x
_atom_site_fract_y
_atom_site_fract_z
Nd1 Nd 0.0000 0.0000 0.0000
Nd2 Nd 0.0000 0.5000 0.3172
Er1 Er 0.0000 0.1605 0.2793
Er2 Er 0.0000 0.3429 0.1025
Tm1 Tm 0.0000 0.0000 0.5000
Tm2 Tm 0.0000 0.2947 0.5000

***

No. 15
# NdEr2Tm PBE optimized geometry
# **ΔH_f (0 K)**: 0.008 eV/atom
# **Energy above the most stable polymorph in this dataset**: 0.00 kcal/mol of atoms
data_NdEr2Tm
_chemical_formula_sum 'Nd3 Er6 Tm3'
_symmetry_space_group_name_H-M 'R 3 m'
_symmetry_Int_Tables_number 160
_symmetry_space_group_name_Hall 'R 3 -2"'
_cell_length_a 3.5735
_cell_length_b 3.5735
_cell_length_c 34.2542
_cell_angle_alpha 90.00
_cell_angle_beta 90.00
_cell_angle_gamma 120.00
loop_
_atom_site_label
_atom_site_type_symbol
_atom_site_fract_x
_atom_site_fract_y
_atom_site_fract_z
Nd1 Nd 0.0000 0.0000 0.0000
Er1 Er 0.0000 0.0000 0.4182
Er2 Er 0.0000 0.0000 0.5808
Tm1 Tm 0.0000 0.0000 0.1658

***

No. 16
# Nd2Er5Tm2 PBE optimized geometry
# **ΔH_f (0 K)**: 0.229 eV/atom
# **Energy above the most stable polymorph in this dataset**: 0.20 kcal/mol of atoms
data_Nd2Er5Tm2
_chemical_formula_sum 'Nd2 Er5 Tm2'
_symmetry_space_group_name_H-M 'P -1'
_symmetry_Int_Tables_number 2
_symmetry_space_group_name_Hall '-P 1'
_cell_length_a 3.4679
_cell_length_b 8.1516
_cell_length_c 10.9036
_cell_angle_alpha 80.10
_cell_angle_beta 80.88
_cell_angle_gamma 89.86
loop_
_atom_site_label
_atom_site_type_symbol
_atom_site_fract_x
_atom_site_fract_y
_atom_site_fract_z
Nd1 Nd 0.1810 0.1437 0.1395
Er1 Er 0.0000 0.0000 0.5000
Er2 Er 0.0930 0.7306 0.3105
Er3 Er 0.3099 0.4683 0.8812
Tm1 Tm 0.4536 0.6443 0.5933

***

No. 17
# NdEr2Tm4 PBE optimized geometry
# **ΔH_f (0 K)**: 0.036 eV/atom
# **Energy above the most stable polymorph in this dataset**: 0.00 kcal/mol of atoms
data_NdEr2Tm4
_chemical_formula_sum 'Nd2 Er4 Tm8'
_symmetry_space_group_name_H-M 'C 1 2/m 1'
_symmetry_Int_Tables_number 12
_symmetry_space_group_name_Hall '-C 2y'
_cell_length_a 16.4414
_cell_length_b 3.4939
_cell_length_c 8.6568
_cell_angle_alpha 90.00
_cell_angle_beta 119.34
_cell_angle_gamma 90.00
loop_
_atom_site_label
_atom_site_type_symbol
_atom_site_fract_x
_atom_site_fract_y
_atom_site_fract_z
Nd1 Nd 0.0000 0.0000 0.0000
Er1 Er 0.0704 0.0000 0.4302
Tm1 Tm 0.1424 0.5000 0.8325
Tm2 Tm 0.2058 0.5000 0.2943

***

No. 18
# Nd3Er2Tm3 PBE optimized geometry
# **ΔH_f (0 K)**: 0.144 eV/atom
# **Energy above the most stable polymorph in this dataset**: 1.28 kcal/mol of atoms
data_Nd3Er2Tm3
_chemical_formula_sum 'Nd12 Er8 Tm12'
_symmetry_space_group_name_H-M 'C m c m'
_symmetry_Int_Tables_number 63
_symmetry_space_group_name_Hall '-C 2c 2'
_cell_length_a 5.4988
_cell_length_b 11.7732
_cell_length_c 16.2771
_cell_angle_alpha 90.00
_cell_angle_beta 90.00
_cell_angle_gamma 90.00
loop_
_atom_site_label
_atom_site_type_symbol
_atom_site_fract_x
_atom_site_fract_y
_atom_site_fract_z
Nd1 Nd 0.0000 0.0380 0.2500
Nd2 Nd 0.0000 0.1168 0.5518
Er1 Er 0.0000 0.2751 0.1337
Tm1 Tm 0.0000 0.2414 0.7500
Tm2 Tm 0.0000 0.4216 0.5889

***

No. 19
# NdErTm14 PBE optimized geometry
# **ΔH_f (0 K)**: 0.011 eV/atom
data_NdErTm14
_chemical_formula_sum 'Nd2 Er2 Tm28'
_symmetry_space_group_name_H-M 'A m m 2'
_symmetry_Int_Tables_number 38
_symmetry_space_group_name_Hall 'A 2 -2'
_cell_length_a 11.3032
_cell_length_b 7.0426
_cell_length_c 12.1929
_cell_angle_alpha 90.00
_cell_angle_beta 90.00
_cell_angle_gamma 90.00
loop_
_atom_site_label
_atom_site_type_symbol
_atom_site_fract_x
_atom_site_fract_y
_atom_site_fract_z
Nd1 Nd 0.0000 0.0000 0.0000
Er1 Er 0.0000 0.0000 0.5001
Tm1 Tm 0.0000 0.2500 0.2502
Tm2 Tm 0.2502 0.0000 0.6671
Tm3 Tm 0.2523 0.0000 0.1673
Tm4 Tm 0.2527 0.2493 0.4167
Tm5 Tm 0.5000 0.0000 0.3336
Tm6 Tm 0.5000 0.0000 0.8336
Tm7 Tm 0.5000 0.2503 0.0839

***

No. 20
# Nd6Er2Tm5 PBE optimized geometry
# **ΔH_f (0 K)**: 0.107 eV/atom
data_Nd6Er2Tm5
_chemical_formula_sum 'Nd12 Er4 Tm10'
_symmetry_space_group_name_H-M 'P b a m'
_symmetry_Int_Tables_number 55
_symmetry_space_group_name_Hall '-P 2 2ab'
_cell_length_a 11.6461
_cell_length_b 20.4713
_cell_length_c 3.6071
_cell_angle_alpha 90.00
_cell_angle_beta 90.00
_cell_angle_gamma 90.00
loop_
_atom_site_label
_atom_site_type_symbol
_atom_site_fract_x
_atom_site_fract_y
_atom_site_fract_z
Nd1 Nd 0.0601 0.0802 0.0000
Nd2 Nd 0.0843 0.3671 0.0000
Nd3 Nd 0.1715 0.6346 0.5000
Er1 Er 0.1639 0.7899 0.0000
Tm1 Tm 0.0000 0.5000 0.5000
Tm2 Tm 0.0943 0.2265 0.5000
Tm3 Tm 0.1980 0.9440 0.5000